[1]
The following is a DFT calculation (PBE-GGA) of crystalline Na2PuTl6 at its relaxed geometry.

Lattice parameters (Å, degrees): 9.363 9.363 3.375 90.02 90.02 60.06
Sites, in units of the cell vectors:
Na 0.167 0.167 0.000
Na 0.833 0.833 0.000
Pu 0.500 0.500 0.000
Tl 0.165 0.835 0.500
Tl 0.166 0.500 0.498
Tl 0.500 0.166 0.498
Tl 0.500 0.834 0.502
Tl 0.834 0.500 0.502
Tl 0.835 0.165 0.500

Output
size of the total moment: 5.83 μB per formula unit
formation energy from the elements: -0.03 eV/atom
VASP energy: -31.47 eV per cell
space group: C2/m, No. 12


[2]
The following is a DFT calculation (PBE-GGA) of crystalline NaPu3Tl12 at its relaxed geometry.

Lattice parameters (Å, degrees): 4.824 4.824 19.159 90.00 90.00 90.00
Sites, in units of the cell vectors:
Na 0.000 0.000 0.000
Pu 0.000 0.000 0.250
Pu 0.000 0.000 0.500
Pu 0.000 0.000 0.750
Tl 0.000 0.500 0.126
Tl 0.000 0.500 0.375
Tl 0.000 0.500 0.625
Tl 0.000 0.500 0.874
Tl 0.500 0.000 0.126
Tl 0.500 0.000 0.375
Tl 0.500 0.000 0.625
Tl 0.500 0.000 0.874
Tl 0.500 0.500 0.000
Tl 0.500 0.500 0.251
Tl 0.500 0.500 0.500
Tl 0.500 0.500 0.749

Output
size of the total moment: 5.58 μB per formula unit
formation energy from the elements: -0.02 eV/atom
VASP energy: -72.97 eV per cell
space group: P4/mmm, No. 123


[3]
The following is a DFT calculation (PBE-GGA) of crystalline NaPuTl3 at its relaxed geometry.

Lattice parameters (Å, degrees): 5.057 6.840 8.858 90.00 90.00 90.00
Sites, in units of the cell vectors:
Na 0.250 0.250 0.047
Na 0.750 0.750 0.953
Pu 0.250 0.750 0.364
Pu 0.750 0.250 0.636
Tl 0.250 0.250 0.409
Tl 0.250 0.518 0.749
Tl 0.250 0.982 0.749
Tl 0.750 0.018 0.251
Tl 0.750 0.482 0.251
Tl 0.750 0.750 0.591

Output
size of the total moment: 5.98 μB per formula unit
formation energy from the elements: 0.05 eV/atom
VASP energy: -44.95 eV per cell
space group: Pmmn, No. 59


[4]
The following is a DFT calculation (PBE-GGA) of crystalline Na3PuTl12 at its relaxed geometry.

Lattice parameters (Å, degrees): 4.895 4.895 19.127 90.00 90.00 90.00
Sites, in units of the cell vectors:
Na 0.000 0.000 0.000
Na 0.000 0.000 0.254
Na 0.000 0.000 0.746
Pu 0.000 0.000 0.500
Tl 0.000 0.500 0.126
Tl 0.000 0.500 0.377
Tl 0.000 0.500 0.623
Tl 0.000 0.500 0.874
Tl 0.500 0.000 0.126
Tl 0.500 0.000 0.377
Tl 0.500 0.000 0.623
Tl 0.500 0.000 0.874
Tl 0.500 0.500 0.000
Tl 0.500 0.500 0.252
Tl 0.500 0.500 0.500
Tl 0.500 0.500 0.748

Output
size of the total moment: 6.04 μB per formula unit
formation energy from the elements: -0.05 eV/atom
VASP energy: -47.42 eV per cell
space group: P4/mmm, No. 123


[5]
The following is a DFT calculation (PBE-GGA) of crystalline NaPuTl2 at its relaxed geometry.

Lattice parameters (Å, degrees): 11.200 11.200 11.200 17.69 17.69 17.69
Sites, in units of the cell vectors:
Na 0.000 0.000 0.000
Pu 0.500 0.500 0.500
Tl 0.251 0.251 0.251
Tl 0.749 0.749 0.749

Output
size of the total moment: 6.28 μB per formula unit
formation energy from the elements: 0.02 eV/atom
VASP energy: -20.29 eV per cell
space group: R-3m, No. 166


[6]
The following is a DFT calculation (PBE-GGA) of crystalline Na4PuTl15 at its relaxed geometry.

Lattice parameters (Å, degrees): 4.842 4.842 24.515 90.00 90.00 90.00
Sites, in units of the cell vectors:
Na 0.000 0.000 0.101
Na 0.000 0.000 0.304
Na 0.000 0.000 0.696
Na 0.000 0.000 0.899
Pu 0.000 0.000 0.500
Tl 0.000 0.500 0.000
Tl 0.000 0.500 0.202
Tl 0.000 0.500 0.402
Tl 0.000 0.500 0.598
Tl 0.000 0.500 0.798
Tl 0.500 0.000 0.000
Tl 0.500 0.000 0.202
Tl 0.500 0.000 0.402
Tl 0.500 0.000 0.598
Tl 0.500 0.000 0.798
Tl 0.500 0.500 0.100
Tl 0.500 0.500 0.304
Tl 0.500 0.500 0.500
Tl 0.500 0.500 0.696
Tl 0.500 0.500 0.900

Output
size of the total moment: 5.89 μB per formula unit
formation energy from the elements: -0.05 eV/atom
VASP energy: -56.08 eV per cell
space group: P4/mmm, No. 123


[7]
The following is a DFT calculation (PBE-GGA) of crystalline Na2Pu2Tl7 at its relaxed geometry.

Lattice parameters (Å, degrees): 6.745 6.745 8.921 90.00 90.00 123.89
Sites, in units of the cell vectors:
Na 0.242 0.242 0.000
Na 0.758 0.758 0.000
Pu 0.268 0.732 0.500
Pu 0.732 0.268 0.500
Tl 0.000 0.000 0.500
Tl 0.000 0.500 0.175
Tl 0.000 0.500 0.825
Tl 0.500 0.000 0.175
Tl 0.500 0.000 0.825
Tl 0.500 0.500 0.311
Tl 0.500 0.500 0.689

Output
size of the total moment: 12.07 μB per formula unit
formation energy from the elements: 0.09 eV/atom
VASP energy: -46.85 eV per cell
space group: Cmmm, No. 65


[8]
The following is a DFT calculation (PBE-GGA) of crystalline NaPuTl2 at its relaxed geometry.

Lattice parameters (Å, degrees): 11.170 11.170 11.170 17.76 17.76 17.76
Sites, in units of the cell vectors:
Na 0.000 0.000 0.000
Pu 0.167 0.167 0.167
Tl 0.585 0.585 0.585
Tl 0.749 0.749 0.749

Output
size of the total moment: 6.23 μB per formula unit
formation energy from the elements: 0.02 eV/atom
VASP energy: -20.29 eV per cell
space group: R3m, No. 160


[9]
The following is a DFT calculation (PBE-GGA) of crystalline NaPuTlZn at its relaxed geometry.

Lattice parameters (Å, degrees): 5.219 5.219 5.219 60.00 60.00 60.00
Sites, in units of the cell vectors:
Na 0.000 0.000 0.000
Pu 0.500 0.500 0.500
Tl 0.250 0.250 0.250
Zn 0.750 0.750 0.750

Output
size of the total moment: 5.76 μB per formula unit
formation energy from the elements: 0.09 eV/atom
VASP energy: -18.93 eV per cell
space group: F-43m, No. 216


[10]
The following is a DFT calculation (PBE-GGA) of crystalline NaTm2Pu at its relaxed geometry.

Lattice parameters (Å, degrees): 12.503 12.503 12.503 15.66 15.66 15.66
Sites, in units of the cell vectors:
Na 0.000 0.000 0.000
Tm 0.093 0.093 0.093
Tm 0.907 0.907 0.907
Pu 0.500 0.500 0.500

Output
size of the total moment: 5.76 μB per formula unit
formation energy from the elements: 0.25 eV/atom
VASP energy: -23.60 eV per cell
space group: R-3m, No. 166


[11]
The following is a DFT calculation (PBE-GGA) of crystalline NaPuZn17 at its relaxed geometry.

Lattice parameters (Å, degrees): 6.833 6.833 6.833 82.79 82.79 82.79
Sites, in units of the cell vectors:
Na 0.000 0.000 0.000
Pu 0.679 0.679 0.679
Zn 0.044 0.340 0.640
Zn 0.044 0.640 0.340
Zn 0.183 0.692 0.692
Zn 0.241 0.241 0.241
Zn 0.340 0.044 0.640
Zn 0.340 0.640 0.044
Zn 0.346 0.346 0.838
Zn 0.346 0.838 0.346
Zn 0.442 0.442 0.442
Zn 0.500 0.988 0.988
Zn 0.640 0.044 0.340
Zn 0.640 0.340 0.044
Zn 0.692 0.183 0.692
Zn 0.692 0.692 0.183
Zn 0.838 0.346 0.346
Zn 0.988 0.500 0.988
Zn 0.988 0.988 0.500

Output
size of the total moment: 5.75 μB per formula unit
formation energy from the elements: -0.09 eV/atom
VASP energy: -39.00 eV per cell
space group: R3m, No. 160


[12]
The following is a DFT calculation (PBE-GGA) of crystalline NaPuZn4 at its relaxed geometry.

Lattice parameters (Å, degrees): 5.477 5.477 5.477 60.00 60.00 60.00
Sites, in units of the cell vectors:
Na 0.000 0.000 0.000
Pu 0.750 0.750 0.750
Zn 0.374 0.374 0.374
Zn 0.374 0.374 0.877
Zn 0.374 0.877 0.374
Zn 0.877 0.374 0.374

Output
size of the total moment: 6.21 μB per formula unit
formation energy from the elements: -0.02 eV/atom
VASP energy: -20.85 eV per cell
space group: F-43m, No. 216


[13]
The following is a DFT calculation (PBE-GGA) of crystalline Na2PuZn9 at its relaxed geometry.

Lattice parameters (Å, degrees): 9.330 9.330 9.330 33.29 33.29 33.29
Sites, in units of the cell vectors:
Na 0.144 0.144 0.144
Na 0.856 0.856 0.856
Pu 0.000 0.000 0.000
Zn 0.081 0.584 0.584
Zn 0.334 0.334 0.334
Zn 0.416 0.416 0.919
Zn 0.416 0.919 0.416
Zn 0.500 0.500 0.500
Zn 0.584 0.081 0.584
Zn 0.584 0.584 0.081
Zn 0.666 0.666 0.666
Zn 0.919 0.416 0.416

Output
size of the total moment: 6.15 μB per formula unit
formation energy from the elements: -0.06 eV/atom
VASP energy: -29.18 eV per cell
space group: R-3m, No. 166


[14]
The following is a DFT calculation (PBE-GGA) of crystalline RbNa13 at its relaxed geometry.

Lattice parameters (Å, degrees): 11.888 11.888 11.888 60.00 60.00 60.00
Sites, in units of the cell vectors:
Rb 0.250 0.250 0.250
Rb 0.750 0.750 0.750
Na 0.000 0.000 0.000
Na 0.063 0.298 0.702
Na 0.063 0.702 0.937
Na 0.063 0.937 0.298
Na 0.202 0.437 0.798
Na 0.202 0.563 0.437
Na 0.202 0.798 0.563
Na 0.298 0.063 0.937
Na 0.298 0.702 0.063
Na 0.298 0.937 0.702
Na 0.437 0.202 0.563
Na 0.437 0.563 0.798
Na 0.437 0.798 0.202
Na 0.500 0.500 0.500
Na 0.563 0.202 0.798
Na 0.563 0.437 0.202
Na 0.563 0.798 0.437
Na 0.702 0.063 0.298
Na 0.702 0.298 0.937
Na 0.702 0.937 0.063
Na 0.798 0.202 0.437
Na 0.798 0.437 0.563
Na 0.798 0.563 0.202
Na 0.937 0.063 0.702
Na 0.937 0.298 0.063
Na 0.937 0.702 0.298

Output
size of the total moment: 0.00 μB per formula unit
formation energy from the elements: 0.04 eV/atom
VASP energy: -35.17 eV per cell
space group: Fm-3c, No. 226


[15]
The following is a DFT calculation (PBE-GGA) of crystalline Rb5Na at its relaxed geometry.

Lattice parameters (Å, degrees): 8.794 8.794 12.076 110.37 110.37 33.87
Sites, in units of the cell vectors:
Rb 0.000 0.000 0.000
Rb 0.026 0.026 0.443
Rb 0.310 0.310 0.159
Rb 0.337 0.337 0.604
Rb 0.669 0.669 0.801
Na 0.668 0.668 0.302

Output
size of the total moment: 0.00 μB per formula unit
formation energy from the elements: 0.02 eV/atom
VASP energy: -6.02 eV per cell
space group: Cm, No. 8


[16]
The following is a DFT calculation (PBE-GGA) of crystalline RbNa4 at its relaxed geometry.

Lattice parameters (Å, degrees): 8.814 8.814 8.814 143.33 143.33 52.83
Sites, in units of the cell vectors:
Rb 0.000 0.000 0.000
Na 0.250 0.750 0.500
Na 0.390 0.390 0.000
Na 0.610 0.610 0.000
Na 0.750 0.250 0.500

Output
size of the total moment: 0.00 μB per formula unit
formation energy from the elements: 0.08 eV/atom
VASP energy: -5.85 eV per cell
ΔE to the lowest computed polymorph: 0.0188 eV per atom
space group: I4/mmm, No. 139


[17]
The following is a DFT calculation (PBE-GGA) of crystalline RbNa4 at its relaxed geometry.

Lattice parameters (Å, degrees): 8.285 8.285 7.877 90.00 90.00 114.78
Sites, in units of the cell vectors:
Rb 0.234 0.766 0.750
Rb 0.766 0.234 0.250
Na 0.076 0.924 0.250
Na 0.302 0.302 0.000
Na 0.302 0.302 0.500
Na 0.323 0.677 0.250
Na 0.677 0.323 0.750
Na 0.698 0.698 0.000
Na 0.698 0.698 0.500
Na 0.924 0.076 0.750

Output
size of the total moment: 0.00 μB per formula unit
formation energy from the elements: 0.06 eV/atom
VASP energy: -11.89 eV per cell
ΔE to the lowest computed polymorph: 0.0000 eV per atom
space group: Cmcm, No. 63


[18]
The following is a DFT calculation (PBE-GGA) of crystalline Rb4Na5 at its relaxed geometry.

Lattice parameters (Å, degrees): 9.675 9.675 9.675 96.40 96.40 141.00
Sites, in units of the cell vectors:
Rb 0.000 0.308 0.308
Rb 0.000 0.692 0.692
Rb 0.308 0.000 0.308
Rb 0.692 0.000 0.692
Na 0.000 0.000 0.000
Na 0.357 0.357 0.714
Na 0.357 0.643 0.000
Na 0.643 0.357 0.000
Na 0.643 0.643 0.286

Output
size of the total moment: 0.00 μB per formula unit
formation energy from the elements: 0.05 eV/atom
VASP energy: -9.98 eV per cell
space group: I4/mmm, No. 139


[19]
The following is a DFT calculation (PBE-GGA) of crystalline RbNa4 at its relaxed geometry.

Lattice parameters (Å, degrees): 6.823 6.823 6.823 90.00 90.00 90.00
Sites, in units of the cell vectors:
Rb 0.000 0.000 0.000
Na 0.000 0.000 0.500
Na 0.000 0.500 0.000
Na 0.500 0.000 0.000
Na 0.500 0.500 0.500

Output
size of the total moment: 0.00 μB per formula unit
formation energy from the elements: 0.42 eV/atom
VASP energy: -4.14 eV per cell
ΔE to the lowest computed polymorph: 0.3617 eV per atom
space group: Pm-3m, No. 221


[20]
The following is a DFT calculation (PBE-GGA) of crystalline Rb5Na at its relaxed geometry.

Lattice parameters (Å, degrees): 10.609 10.609 6.934 90.00 90.00 141.91
Sites, in units of the cell vectors:
Rb 0.000 0.000 0.000
Rb 0.157 0.843 0.500
Rb 0.342 0.658 0.000
Rb 0.658 0.342 0.000
Rb 0.843 0.157 0.500
Na 0.500 0.500 0.500

Output
size of the total moment: 0.00 μB per formula unit
formation energy from the elements: 0.02 eV/atom
VASP energy: -6.01 eV per cell
space group: Cmmm, No. 65


[21]
The following is a DFT calculation (PBE-GGA) of crystalline RbNa11 at its relaxed geometry.

Lattice parameters (Å, degrees): 12.346 12.346 3.715 90.00 90.00 120.00
Sites, in units of the cell vectors:
Rb 0.000 0.000 0.000
Na 0.000 0.500 0.000
Na 0.183 0.366 0.500
Na 0.183 0.817 0.500
Na 0.333 0.667 0.000
Na 0.366 0.183 0.500
Na 0.500 0.000 0.000
Na 0.500 0.500 0.000
Na 0.634 0.817 0.500
Na 0.667 0.333 0.000
Na 0.817 0.183 0.500
Na 0.817 0.634 0.500

Output
size of the total moment: 0.00 μB per formula unit
formation energy from the elements: 0.03 eV/atom
VASP energy: -15.06 eV per cell
space group: P6/mmm, No. 191


[22]
The following is a DFT calculation (PBE-GGA) of crystalline RbNa5 at its relaxed geometry.

Lattice parameters (Å, degrees): 6.123 6.123 8.549 90.00 90.00 120.00
Sites, in units of the cell vectors:
Rb 0.000 0.000 0.000
Na 0.000 0.000 0.500
Na 0.333 0.667 0.293
Na 0.333 0.667 0.707
Na 0.667 0.333 0.293
Na 0.667 0.333 0.707

Output
size of the total moment: 0.00 μB per formula unit
formation energy from the elements: 0.05 eV/atom
VASP energy: -7.27 eV per cell
ΔE to the lowest computed polymorph: 0.0239 eV per atom
space group: P6/mmm, No. 191